No. 1
The following is a DFT calculation (PBE) of an optimized crystal structure of Dy2ThPd.

Cell and atoms, written as CIF:
```
data_Dy2ThPd
_chemical_formula_sum 'Dy2 Th1 Pd1'
_symmetry_space_group_name_H-M 'P 1'
_symmetry_Int_Tables_number 1
_cell_length_a 3.5687
_cell_length_b 3.5687
_cell_length_c 8.3364
_cell_angle_alpha 90.00
_cell_angle_beta 90.00
_cell_angle_gamma 90.00
loop_
_symmetry_equiv_pos_as_xyz
'x,y,z'
loop_
_atom_site_label
_atom_site_type_symbol
_atom_site_fract_x
_atom_site_fract_y
_atom_site_fract_z
Th1 Th 0.5000 0.5000 0.5000
Dy1 Dy 0.0000 0.0000 0.7972
Dy2 Dy 0.0000 0.0000 0.2028
Pd1 Pd 0.5000 0.5000 0.0000
```

Properties
SG: No. 123
ΔE_f (eV/atom): -0.41
D(E_F) (states/eV/cell): 4.85
Relative energy among the computed polymorphs (meV per atom): 0

---

No. 2
The following is a DFT calculation (PBE) of an optimized crystal structure of DyThPd4.

Cell and atoms, written as CIF:
```
data_DyThPd4
_chemical_formula_sum 'Dy1 Th1 Pd4'
_symmetry_space_group_name_H-M 'P 1'
_symmetry_Int_Tables_number 1
_cell_length_a 5.4962
_cell_length_b 5.4962
_cell_length_c 5.4962
_cell_angle_alpha 60.00
_cell_angle_beta 60.00
_cell_angle_gamma 60.00
loop_
_symmetry_equiv_pos_as_xyz
'x,y,z'
loop_
_atom_site_label
_atom_site_type_symbol
_atom_site_fract_x
_atom_site_fract_y
_atom_site_fract_z
Th1 Th 0.0000 0.0000 0.0000
Pd1 Pd 0.1259 0.6247 0.6247
Pd2 Pd 0.6247 0.6247 0.1259
Pd3 Pd 0.6247 0.1259 0.6247
Pd4 Pd 0.6247 0.6247 0.6247
Dy1 Dy 0.2500 0.2500 0.2500
```

Properties
SG: No. 216
ΔE_f (eV/atom): -0.75
D(E_F) (states/eV/cell): 4.58
Relative energy among the computed polymorphs (meV per atom): 147

---

No. 3
The following is a DFT calculation (PBE) of an optimized crystal structure of DyThPd.

Cell and atoms, written as CIF:
```
data_DyThPd
_chemical_formula_sum 'Dy1 Th1 Pd1'
_symmetry_space_group_name_H-M 'P 1'
_symmetry_Int_Tables_number 1
_cell_length_a 3.6503
_cell_length_b 3.6503
_cell_length_c 6.4183
_cell_angle_alpha 106.52
_cell_angle_beta 106.52
_cell_angle_gamma 90.00
loop_
_symmetry_equiv_pos_as_xyz
'x,y,z'
loop_
_atom_site_label
_atom_site_type_symbol
_atom_site_fract_x
_atom_site_fract_y
_atom_site_fract_z
Pd1 Pd 0.6630 0.6630 0.3260
Dy1 Dy 0.3147 0.3147 0.6295
Th1 Th 0.0223 0.0223 0.0445
```

Properties
SG: No. 107
ΔE_f (eV/atom): -0.46
D(E_F) (states/eV/cell): 3.49
Relative energy among the computed polymorphs (meV per atom): 0

---

No. 4
The following is a DFT calculation (PBE) of an optimized crystal structure of DyThPd.

Cell and atoms, written as CIF:
```
data_DyThPd
_chemical_formula_sum 'Dy1 Th1 Pd1'
_symmetry_space_group_name_H-M 'P 1'
_symmetry_Int_Tables_number 1
_cell_length_a 3.7889
_cell_length_b 4.8728
_cell_length_c 4.8728
_cell_angle_alpha 120.00
_cell_angle_beta 90.00
_cell_angle_gamma 90.00
loop_
_symmetry_equiv_pos_as_xyz
'x,y,z'
loop_
_atom_site_label
_atom_site_type_symbol
_atom_site_fract_x
_atom_site_fract_y
_atom_site_fract_z
Dy1 Dy 0.6013 0.6667 0.3333
Pd1 Pd 0.3504 0.3333 0.6667
Th1 Th 0.0483 0.0000 0.0000
```

Properties
SG: No. 156
ΔE_f (eV/atom): -0.28
D(E_F) (states/eV/cell): 1.95
Relative energy among the computed polymorphs (meV per atom): 180

---

Question: Which of these has the highest ΔE_f?
Answer: number 4